Compound: BaTaAl2
Source: Alexandria via LeMat-Bulk
Functional: PBE
Structure: optimized geometry

The structure belongs to space group Pmm2 (No. 25); the cell edges are 3.053, 3.720 and 8.415 Å and the angles 90.00°, 90.00° and 90.00°. The asymmetric unit holds Ba at (0.000, 0.000, 0.000), Ta at (0.500, 0.500, 0.342), Al at (0.000, 0.000, 0.509) and Al at (0.500, 0.500, 0.681).

The density is 6.468 Mg/m³. The formation energy comes out at 33.7 kJ/mol of atoms. The calculation puts the energy above the lowest structure with this stoichiometry at 0.271 eV/atom. The value obtained for the density of states at the Fermi level is 2.82 states/eV per cell.